PBE-GGA K3PH, relaxed; offset from the most stable computed form = 0 meV/atom; symmetry = No. 2
1.0
7.2902 0.0529 0.2501
3.6981 8.5633 0.4388
3.7937 -2.5362 4.8204
K P H
6 2 2
Cartesian
5.4585 1.8124 4.5059 K
4.5134 -0.2007 1.6262 K
11.5795 5.8775 3.1247 K
8.8548 0.6921 4.8868 K
7.6853 4.7044 3.2557 K
1.1396 0.6897 0.8767 K
10.2911 2.8988 2.9052 P
10.1431 3.6713 5.1062 P
6.6638 -0.2653 3.2446 H
10.0732 -1.7281 4.3279 H

---

PBE-GGA La2Ho4H, relaxed; final energy = -31.02 eV per formula unit; symmetry = No. 139
1.0
-4.7706 0.5515 -0.9938
-0.2830 -4.7295 -1.2658
-4.4831 -4.1754 7.1034
Ho La H
4 2 1
Cartesian
-2.3853 0.2757 -0.4969 Ho
-3.9156 -3.5702 4.7150 Ho
-0.1415 -2.3648 -0.6329 Ho
-5.6212 -4.7833 0.1288 Ho
-3.1150 -2.7163 1.3456 La
-6.4218 -5.6372 3.4983 La
0.0000 0.0000 0.0000 H

---

PBE-GGA Cr2SiAg, relaxed; final energy = -26.54 eV per formula unit; symmetry = No. 123
1.0
-2.1411 1.8255 1.3857
-0.1034 -1.9713 2.4372
4.1337 2.9215 2.5383
Cr Si Ag
2 1 1
Cartesian
0.2593 0.1833 0.1592 Cr
1.8075 1.2775 1.1099 Cr
-0.0888 0.6575 2.5460 Si
1.9781 2.1182 3.8152 Ag